# BaAl2CdGe | Alexandria | meta-GGA SCAN | single point on PBEsol structure
# Fermi-level density of states = 0.809 states/eV per atom
# total magnetic moment = 0.00 μB per cell
# uncorrected energy = -20.40 eV per atom
# formation enthalpy at 0 K = 0.5147 eV/atom
data_BaAl2CdGe
_cell_length_a 4.968
_cell_length_b 4.968
_cell_length_c 6.074
_cell_angle_alpha 90.00
_cell_angle_beta 90.00
_cell_angle_gamma 90.00
_symmetry_space_group_name_H-M 'P 4/m m m'
_symmetry_Int_Tables_number 123
_symmetry_space_group_name_Hall '-P 4 2'
loop_
_atom_site_label
_atom_site_fract_x
_atom_site_fract_y
_atom_site_fract_z
Ba1 0.000 0.000 0.000
Al1 0.000 0.500 0.500
Cd1 0.000 0.000 0.500
Ge1 0.500 0.500 0.000